No. 1
# PBE Ca5InHg4, optimized geometry
data_Ca5InHg4
_chemical_formula_sum 'Ca5 In1 Hg4'
_cell_length_a 3.7995
_cell_length_b 3.7995
_cell_length_c 19.0332
_cell_angle_alpha 90.00
_cell_angle_beta 90.00
_cell_angle_gamma 90.00
_space_group_name_H-M_alt 'P 1'
_space_group_IT_number 1
loop_
_space_group_symop_operation_xyz
'x,y,z'
loop_
_atom_site_label
_atom_site_type_symbol
_atom_site_fract_x
_atom_site_fract_y
_atom_site_fract_z
Ca1 Ca 0.5000 0.5000 0.1032
Ca2 Ca 0.5000 0.5000 0.3001
Ca3 Ca 0.5000 0.5000 0.5000
Ca4 Ca 0.5000 0.5000 0.6999
Ca5 Ca 0.5000 0.5000 0.8968
In1 In 0.0000 0.0000 0.0000
Hg1 Hg 0.0000 0.0000 0.2001
Hg2 Hg 0.0000 0.0000 0.4006
Hg3 Hg 0.0000 0.0000 0.5994
Hg4 Hg 0.0000 0.0000 0.7999
# DFT total energy in eV per atom: -1.93
# Formation energy from the elements in eV/atom: -0.538

---

No. 2
# PBE CaIn7Hg4, optimized geometry
data_CaIn7Hg4
_chemical_formula_sum 'Ca1 In7 Hg4'
_cell_length_a 6.2374
_cell_length_b 9.2234
_cell_length_c 7.0091
_cell_angle_alpha 81.71
_cell_angle_beta 63.58
_cell_angle_gamma 70.24
_space_group_name_H-M_alt 'P 1'
_space_group_IT_number 1
loop_
_space_group_symop_operation_xyz
'x,y,z'
loop_
_atom_site_label
_atom_site_type_symbol
_atom_site_fract_x
_atom_site_fract_y
_atom_site_fract_z
Ca1 Ca 0.0000 0.0000 0.0000
In1 In 0.7395 0.9996 0.5213
In2 In 0.2605 0.0004 0.4787
In3 In 0.0427 0.6545 0.2601
In4 In 0.9573 0.3455 0.7399
In5 In 0.3062 0.6544 0.7333
In6 In 0.5000 0.0000 0.0000
In7 In 0.6938 0.3456 0.2667
Hg1 Hg 0.4617 0.3149 0.7617
Hg2 Hg 0.5383 0.6851 0.2383
Hg3 Hg 0.7798 0.6851 0.7554
Hg4 Hg 0.2202 0.3149 0.2446
# DFT total energy in eV per atom: -1.88
# Formation energy from the elements in eV/atom: -0.015

---

No. 3
# PBE Ca2InHg, optimized geometry
data_Ca2InHg
_chemical_formula_sum 'Ca2 In1 Hg1'
_cell_length_a 9.2038
_cell_length_b 9.2038
_cell_length_c 9.2038
_cell_angle_alpha 154.16
_cell_angle_beta 154.16
_cell_angle_gamma 36.87
_space_group_name_H-M_alt 'P 1'
_space_group_IT_number 1
loop_
_space_group_symop_operation_xyz
'x,y,z'
loop_
_atom_site_label
_atom_site_type_symbol
_atom_site_fract_x
_atom_site_fract_y
_atom_site_fract_z
Ca1 Ca 0.3264 0.3264 0.0000
Ca2 Ca 0.6736 0.6736 0.0000
Hg1 Hg 0.5000 0.5000 0.0000
In1 In 0.0000 0.0000 0.0000
# DFT total energy in eV per atom: -1.76
# Formation energy from the elements in eV/atom: 0.003

---

No. 4
# PBE Ca3In4Hg4, optimized geometry
data_Ca3In4Hg4
_chemical_formula_sum 'Ca3 In4 Hg4'
_cell_length_a 4.5444
_cell_length_b 8.0614
_cell_length_c 9.3594
_cell_angle_alpha 115.51
_cell_angle_beta 104.05
_cell_angle_gamma 90.00
_space_group_name_H-M_alt 'P 1'
_space_group_IT_number 1
loop_
_space_group_symop_operation_xyz
'x,y,z'
loop_
_atom_site_label
_atom_site_type_symbol
_atom_site_fract_x
_atom_site_fract_y
_atom_site_fract_z
Ca1 Ca 0.1218 0.1218 0.2436
Ca2 Ca 0.8782 0.8782 0.7564
Ca3 Ca 0.0000 0.5000 0.0000
In1 In 0.3348 0.1426 0.6695
In2 In 0.6652 0.4731 0.3305
In3 In 0.6652 0.8574 0.3305
In4 In 0.3348 0.5269 0.6695
Hg1 Hg 0.2288 0.7288 0.4576
Hg2 Hg 0.7712 0.2712 0.5424
Hg3 Hg 0.5000 0.8152 0.0000
Hg4 Hg 0.5000 0.1848 0.0000
# ΔE to the lowest computed polymorph in meV/atom: 26
# DFT total energy in eV per atom: -1.98
# Formation energy from the elements in eV/atom: -0.329